Compound: BaTa2Ni
Source: Alexandria
Functional: PBE
Structure: optimized geometry

Cell: 4.0009 4.0009 5.4275 Å, 90.00 90.00 90.00°
Closest atoms and distances in Å follow each position.
Positions (direct):
Ba: 0.0000 0.0000 0.0000  4 Ni 2.83
Ta: 0.0000 0.5000 0.5000  4 Ta 2.83
Ta: 0.5000 0.0000 0.5000  4 Ta 2.83
Ni: 0.5000 0.5000 0.0000  4 Ba 2.83

**Energy above the lowest structure with this stoichiometry**: 689 meV/atom
**VASP energy**: -6.7508 eV per atom
**D(E_F)**: 1.397 states/eV/atom
**Calculated formation energy**: 1.102 eV/atom